Entry 1:
# GdYTeC

A relaxed GdYTeC crystal (PBE, OQMD).

For the size of the total moment, the calculation gives 0.00 Bohr magnetons per cell. For the raw total energy, the calculation gives -6.736 eV per atom.

It has space group P-6m2 (No. 187), with a = 3.8599 Å, b = 3.8599 Å, c = 14.1254 Å, α = 90.00°, β = 90.00° and γ = 120.00°. The distinct sites, in fractional coordinates, are Gd at (0.0000, 0.0000, 0.1575), Y at (0.3333, 0.6667, 0.3450), Te at (0.0000, 0.0000, 0.5000), Te at (0.3333, 0.6667, 0.0000) and C at (0.6667, 0.3333, 0.2517).


Entry 2:
# TaBe2Si

A relaxed TaBe2Si crystal (PBE, OQMD).

For the size of the total moment, the calculation gives 0.94 Bohr magnetons per cell. For the raw total energy, the calculation gives -5.804 eV per atom.

It has space group F-43m (No. 216), with a = 5.870 Å, b = 5.870 Å, c = 5.870 Å, α = 90.00°, β = 90.00° and γ = 90.00°. The distinct sites, in fractional coordinates, are Ta at (0.000, 0.000, 0.000), Be at (0.000, 0.000, 0.500), Be at (0.250, 0.250, 0.250) and Si at (0.250, 0.250, 0.750).


Entry 3:
# ZrTaOs

A relaxed ZrTaOs crystal (PBE, OQMD).

For the size of the total moment, the calculation gives 0.00 Bohr magnetons per cell. The value obtained for the formation energy is -30 meV/atom. For the raw total energy, the calculation gives -10.571 eV per atom. Its energy above the most stable polymorph in this dataset is 0 meV per atom.

It has space group F-43m (No. 216), with a = 6.313 Å, b = 6.313 Å, c = 6.313 Å, α = 90.00°, β = 90.00° and γ = 90.00°. The distinct sites, in fractional coordinates, are Zr at (0.000, 0.000, 0.000), Ta at (0.000, 0.000, 0.500) and Os at (0.250, 0.250, 0.750).


Entry 4:
# Gd3Tl2Sn5

A relaxed Gd3Tl2Sn5 crystal (PBE, OQMD).

For the size of the total moment, the calculation gives 0.01 Bohr magnetons per cell. For the raw total energy, the calculation gives -4.307 eV per atom. Its energy above the most stable polymorph in this dataset is 50 meV per atom.

It has space group Cmmm (No. 65), with a = 4.670 Å, b = 24.186 Å, c = 4.727 Å, α = 90.00°, β = 90.00° and γ = 90.00°. The distinct sites, in fractional coordinates, are Gd at (0.000, 0.000, 0.000), Gd at (0.000, 0.188, 0.000), Tl at (0.000, 0.295, 0.500), Sn at (0.000, 0.099, 0.500), Sn at (0.000, 0.402, 0.000) and Sn at (0.000, 0.500, 0.500).


Entry 5:
# NaNbF3

A relaxed NaNbF3 crystal (PBE, OQMD).

For the size of the total moment, the calculation gives 18.00 Bohr magnetons per cell. For the raw total energy, the calculation gives -5.376 eV per atom. Its energy above the most stable polymorph in this dataset is 189 meV per atom.

It has space group R-3c (No. 167, hexagonal axes), with a = 5.9728 Å, b = 5.9728 Å, c = 13.9425 Å, α = 90.00°, β = 90.00° and γ = 120.00°. The distinct sites, in fractional coordinates, are Na at (0.0000, 0.0000, 0.0000), Nb at (0.0000, 0.0000, 0.2500) and F at (0.0000, 0.3425, 0.2500).


Entry 6:
# LiAl2ZnCu4

A relaxed LiAl2ZnCu4 crystal (PBE, OQMD).

For the raw total energy, the calculation gives -3.389 eV per atom. Its energy above the most stable polymorph in this dataset is 1 meV per atom.

It has space group I4_1/amd (No. 141, origin choice 2), with a = 5.835 Å, b = 5.835 Å, c = 11.969 Å, α = 90.00°, β = 90.00° and γ = 90.00°. The distinct sites, in fractional coordinates, are Li at (0.000, 0.250, 0.375), Al at (0.000, 0.250, 0.126), Zn at (0.000, 0.250, 0.875) and Cu at (0.245, 0.000, 0.500).


Entry 7:
# ScFeCuAs

A relaxed ScFeCuAs crystal (PBE, OQMD).

For the size of the total moment, the calculation gives 7.87 Bohr magnetons per cell. For the raw total energy, the calculation gives -5.800 eV per atom. Its energy above the most stable polymorph in this dataset is 180 meV per atom.

It has space group F-43m (No. 216), with a = 6.249 Å, b = 6.249 Å, c = 6.249 Å, α = 90.00°, β = 90.00° and γ = 90.00°. The distinct sites, in fractional coordinates, are Sc at (0.000, 0.000, 0.000), Fe at (0.250, 0.250, 0.750), Cu at (0.000, 0.000, 0.500) and As at (0.250, 0.250, 0.250).


Entry 8:
# TbSi2Te2

A relaxed TbSi2Te2 crystal (PBE, OQMD).

For the size of the total moment, the calculation gives 0.11 Bohr magnetons per cell. For the raw total energy, the calculation gives -4.325 eV per atom.

It has space group P6_3/mmc (No. 194), with a = 5.2190 Å, b = 5.2190 Å, c = 11.8606 Å, α = 90.00°, β = 90.00° and γ = 120.00°. The distinct sites, in fractional coordinates, are Tb at (0.0000, 0.0000, 0.2500), Si at (0.3333, 0.6667, 0.1460), Te at (0.0000, 0.0000, 0.0000) and Te at (0.3333, 0.6667, 0.7500).


Entry 9:
# Ho4CI3F2

A relaxed Ho4CI3F2 crystal (PBE, OQMD).

For the size of the total moment, the calculation gives 0.00 Bohr magnetons per cell. For the raw total energy, the calculation gives -5.308 eV per atom.

It has space group C2/m (No. 12), with a = 17.057 Å, b = 3.781 Å, c = 8.174 Å, α = 90.00°, β = 92.87° and γ = 90.00°. The distinct sites, in fractional coordinates, are Ho at (0.005, 0.000, 0.307), Ho at (0.137, 0.500, 0.556), C at (0.000, 0.500, 0.500), I at (0.000, 0.500, 0.000), I at (0.186, 0.000, 0.279) and F at (0.132, 0.000, 0.719).


Entry 10:
# CdHg2Bi

A relaxed CdHg2Bi crystal (PBE, OQMD).

For the raw total energy, the calculation gives -1.302 eV per atom.

It has space group F-43m (No. 216), with a = 7.544 Å, b = 7.544 Å, c = 7.544 Å, α = 90.00°, β = 90.00° and γ = 90.00°. The distinct sites, in fractional coordinates, are Cd at (0.000, 0.000, 0.000), Hg at (0.000, 0.000, 0.500), Hg at (0.250, 0.250, 0.250) and Bi at (0.250, 0.250, 0.750).


Entry 11:
# Cu2SiGe

A relaxed Cu2SiGe crystal (PBE, OQMD).

For the raw total energy, the calculation gives -4.122 eV per atom.

It has space group Pm-3m (No. 221), with a = 6.149 Å, b = 6.149 Å, c = 6.149 Å, α = 90.00°, β = 90.00° and γ = 90.00°. The distinct sites, in fractional coordinates, are Cu at (0.233, 0.233, 0.233), Si at (0.000, 0.000, 0.000), Si at (0.000, 0.000, 0.500), Ge at (0.000, 0.500, 0.500) and Ge at (0.500, 0.500, 0.500).


Entry 12:
# ScInFeCo

A relaxed ScInFeCo crystal (PBE, OQMD).

For the size of the total moment, the calculation gives 16.90 Bohr magnetons per cell. For the raw total energy, the calculation gives -6.077 eV per atom. Its energy above the most stable polymorph in this dataset is 106 meV per atom.

It has space group F-43m (No. 216), with a = 6.368 Å, b = 6.368 Å, c = 6.368 Å, α = 90.00°, β = 90.00° and γ = 90.00°. The distinct sites, in fractional coordinates, are Sc at (0.000, 0.000, 0.000), In at (0.250, 0.250, 0.250), Fe at (0.000, 0.000, 0.500) and Co at (0.250, 0.250, 0.750).


Entry 13:
# NbCdNiAs

A relaxed NbCdNiAs crystal (PBE, OQMD).

For the size of the total moment, the calculation gives 0.26 Bohr magnetons per cell. For the raw total energy, the calculation gives -5.090 eV per atom.

It has space group F-43m (No. 216), with a = 6.394 Å, b = 6.394 Å, c = 6.394 Å, α = 90.00°, β = 90.00° and γ = 90.00°. The distinct sites, in fractional coordinates, are Nb at (0.000, 0.000, 0.000), Cd at (0.250, 0.250, 0.750), Ni at (0.000, 0.000, 0.500) and As at (0.250, 0.250, 0.250).


Entry 14:
# BaTbAlSe3

A relaxed BaTbAlSe3 crystal (PBE, OQMD).

For the size of the total moment, the calculation gives 0.02 Bohr magnetons per cell. For the raw total energy, the calculation gives -4.773 eV per atom.

It has space group Cmcm (No. 63), with a = 4.534 Å, b = 13.714 Å, c = 10.884 Å, α = 90.00°, β = 90.00° and γ = 90.00°. The distinct sites, in fractional coordinates, are Ba at (0.000, 0.243, 0.250), Tb at (0.000, 0.500, 0.000), Al at (0.000, 0.018, 0.750), Se at (0.000, 0.135, 0.573) and Se at (0.000, 0.437, 0.750).


Entry 15:
# TaNbH

A relaxed TaNbH crystal (PBE, OQMD).

For the size of the total moment, the calculation gives 0.01 Bohr magnetons per cell. For the raw total energy, the calculation gives -8.598 eV per atom.

It has space group P222_1 (No. 17), with a = 3.396 Å, b = 4.807 Å, c = 4.800 Å, α = 90.00°, β = 90.00° and γ = 90.00°. The distinct sites, in fractional coordinates, are Ta at (0.000, 0.232, 0.250), Nb at (0.500, 0.238, 0.750) and H at (0.246, 0.500, 0.500).


Entry 16:
# AlAu

A relaxed AlAu crystal (PBE, OQMD).

For the raw total energy, the calculation gives -3.733 eV per atom.

It has space group P-6m2 (No. 187), with a = 3.0656 Å, b = 3.0656 Å, c = 4.1468 Å, α = 90.00°, β = 90.00° and γ = 120.00°. The distinct sites, in fractional coordinates, are Al at (0.0000, 0.0000, 0.0000) and Au at (0.6667, 0.3333, 0.5000).


Entry 17:
# GdMgZn

A relaxed GdMgZn crystal (PBE, OQMD).

For the size of the total moment, the calculation gives 0.00 Bohr magnetons per cell. For the raw total energy, the calculation gives -2.653 eV per atom.

It has space group P1 (No. 1), with a = 6.199 Å, b = 6.316 Å, c = 7.815 Å, α = 76.51°, β = 76.60° and γ = 66.67°. The distinct sites, in fractional coordinates, are Gd at (0.000, 0.000, 0.000), Gd at (0.179, 0.163, 0.306), Gd at (0.369, 0.347, 0.702), Gd at (0.551, 0.514, 0.033), Mg at (0.144, 0.663, 0.361), Mg at (0.400, 0.848, 0.647), Mg at (0.863, 0.388, 0.643), Mg at (0.870, 0.866, 0.682), Zn at (0.025, 0.529, 0.009), Zn at (0.530, 0.990, 0.002), Zn at (0.672, 0.680, 0.321) and Zn at (0.678, 0.130, 0.365).


Entry 18:
# Li4AlGaAg2

A relaxed Li4AlGaAg2 crystal (PBE, OQMD).

For the raw total energy, the calculation gives -2.783 eV per atom.

It has space group P-4m2 (No. 115), with a = 4.436 Å, b = 4.436 Å, c = 6.269 Å, α = 90.00°, β = 90.00° and γ = 90.00°. The distinct sites, in fractional coordinates, are Li at (0.000, 0.000, 0.000), Li at (0.000, 0.500, 0.245), Li at (0.500, 0.500, 0.500), Al at (0.000, 0.000, 0.500), Ga at (0.500, 0.500, 0.000) and Ag at (0.000, 0.500, 0.745).


Entry 19:
# Ho3Tm2LuSb2Os

A relaxed Ho3Tm2LuSb2Os crystal (PBE, OQMD).

For the size of the total moment, the calculation gives 0.03 Bohr magnetons per cell. For the raw total energy, the calculation gives -5.830 eV per atom.

It has space group Amm2 (No. 38), with a = 4.179 Å, b = 14.085 Å, c = 8.106 Å, α = 90.00°, β = 90.00° and γ = 90.00°. The distinct sites, in fractional coordinates, are Ho at (0.000, 0.000, 0.000), Ho at (0.000, 0.120, 0.642), Tm at (0.500, 0.195, 0.957), Lu at (0.500, 0.000, 0.373), Sb at (0.000, 0.167, 0.262) and Os at (0.500, 0.000, 0.759).


Entry 20:
# ZrScCoB

A relaxed ZrScCoB crystal (PBE, OQMD).

For the size of the total moment, the calculation gives 0.04 Bohr magnetons per cell. For the raw total energy, the calculation gives -6.872 eV per atom. Its energy above the most stable polymorph in this dataset is 0 meV per atom.

It has space group F-43m (No. 216), with a = 6.024 Å, b = 6.024 Å, c = 6.024 Å, α = 90.00°, β = 90.00° and γ = 90.00°. The distinct sites, in fractional coordinates, are Zr at (0.000, 0.000, 0.000), Sc at (0.250, 0.250, 0.250), Co at (0.250, 0.250, 0.750) and B at (0.000, 0.000, 0.500).


Entry 21:
# Pr2GdNiSn3Pt2

A relaxed Pr2GdNiSn3Pt2 crystal (PBE, OQMD).

For the size of the total moment, the calculation gives 0.00 Bohr magnetons per cell. For the raw total energy, the calculation gives -5.814 eV per atom.

It has space group Amm2 (No. 38), with a = 4.045 Å, b = 13.195 Å, c = 7.636 Å, α = 90.00°, β = 90.00° and γ = 90.00°. The distinct sites, in fractional coordinates, are Pr at (0.000, 0.204, 0.000), Gd at (0.000, 0.000, 0.389), Ni at (0.000, 0.000, 0.791), Sn at (0.500, 0.000, 0.041), Sn at (0.500, 0.121, 0.672) and Pt at (0.500, 0.162, 0.298).


Entry 22:
# LuTlFePt

A relaxed LuTlFePt crystal (PBE, OQMD).

For the size of the total moment, the calculation gives 11.46 Bohr magnetons per cell. For the raw total energy, the calculation gives -5.446 eV per atom. Its energy above the most stable polymorph in this dataset is 66 meV per atom.

It has space group F-43m (No. 216), with a = 6.665 Å, b = 6.665 Å, c = 6.665 Å, α = 90.00°, β = 90.00° and γ = 90.00°. The distinct sites, in fractional coordinates, are Lu at (0.000, 0.000, 0.000), Tl at (0.250, 0.250, 0.250), Fe at (0.000, 0.000, 0.500) and Pt at (0.250, 0.250, 0.750).


Entry 23:
# Hf2Ge3Mo4C3

A relaxed Hf2Ge3Mo4C3 crystal (PBE, OQMD).

For the size of the total moment, the calculation gives 0.04 Bohr magnetons per cell. For the raw total energy, the calculation gives -9.096 eV per atom.

It has space group C2/c (No. 15), with a = 9.539 Å, b = 5.537 Å, c = 13.261 Å, α = 90.00°, β = 103.84° and γ = 90.00°. The distinct sites, in fractional coordinates, are Hf at (0.050, 0.084, 0.397), Ge at (0.000, 0.460, 0.250), Ge at (0.188, 0.104, 0.749), Mo at (0.111, 0.415, 0.584), Mo at (0.223, 0.416, 0.916), C at (0.082, 0.246, 0.000) and C at (0.250, 0.250, 0.500).


Entry 24:
# CdCuHgBi

A relaxed CdCuHgBi crystal (PBE, OQMD).

For the raw total energy, the calculation gives -1.988 eV per atom. Its energy above the most stable polymorph in this dataset is 0 meV per atom.

It has space group F-43m (No. 216), with a = 7.133 Å, b = 7.133 Å, c = 7.133 Å, α = 90.00°, β = 90.00° and γ = 90.00°. The distinct sites, in fractional coordinates, are Cd at (0.000, 0.000, 0.000), Cu at (0.000, 0.000, 0.500), Hg at (0.250, 0.250, 0.750) and Bi at (0.250, 0.250, 0.250).